(1)
# PBE-GGA TiTcN3, relaxed
# **Electronic total energy**: -8.167 eV/atom
# **M_tot**: 0.0 Bohr magnetons per cell
# **Energy relative to the elements, uncorrected**: 2.401 eV per formula unit
# **Space group**: Pm-3m
# **Density**: 5.55 g/cm³
data_TiTcN3
_cell_length_a 3.8312
_cell_length_b 3.8312
_cell_length_c 3.8312
_cell_angle_alpha 90.00
_cell_angle_beta 90.00
_cell_angle_gamma 90.00
_space_group_name_H-M_alt 'P 1'
_space_group_IT_number 1
_space_group_name_Hall 'P 1'
loop_
_atom_site_label
_atom_site_type_symbol
_atom_site_fract_x
_atom_site_fract_y
_atom_site_fract_z
N1 N 0.0000 0.0000 0.5000
N2 N 0.5000 0.0000 0.0000
N3 N 0.0000 0.5000 0.0000
Ti1 Ti 0.5000 0.5000 0.5000
Tc1 Tc 0.0000 0.0000 0.0000

(2)
# PBE-GGA Ti8TcN2, relaxed
# **Electronic total energy**: -8.675 eV/atom
# **M_tot**: 0.0 Bohr magnetons per cell
# **Energy relative to the elements, uncorrected**: -5.244 eV per formula unit
# **Space group**: C2/m
# **Density**: 5.57 g/cm³
data_Ti8TcN2
_cell_length_a 4.4211
_cell_length_b 6.1542
_cell_length_c 6.1542
_cell_angle_alpha 111.69
_cell_angle_beta 97.07
_cell_angle_gamma 97.07
_space_group_name_H-M_alt 'P 1'
_space_group_IT_number 1
_space_group_name_Hall 'P 1'
loop_
_atom_site_label
_atom_site_type_symbol
_atom_site_fract_x
_atom_site_fract_y
_atom_site_fract_z
Ti1 Ti 0.9299 0.6610 0.9211
Ti2 Ti 0.5000 0.7550 0.2450
Ti3 Ti 0.0701 0.3390 0.0789
Ti4 Ti 0.0701 0.0789 0.3390
Ti5 Ti 0.9299 0.9211 0.6610
Ti6 Ti 0.6932 0.3968 0.3968
Ti7 Ti 0.5000 0.2450 0.7550
Ti8 Ti 0.3068 0.6032 0.6032
N1 N 0.0000 0.3060 0.6940
N2 N 0.0000 0.6940 0.3060
Tc1 Tc 0.5000 0.0000 0.0000

(3)
# PBE-GGA Ti4TcN2, relaxed
# **Electronic total energy**: -9.438 eV/atom
# **M_tot**: 0.0 Bohr magnetons per cell
# **Energy relative to the elements, uncorrected**: -7.470 eV per formula unit
# **Space group**: Cmcm
# **Density**: 5.99 g/cm³
data_Ti4TcN2
_cell_length_a 3.0881
_cell_length_b 5.4150
_cell_length_c 10.9760
_cell_angle_alpha 90.00
_cell_angle_beta 90.00
_cell_angle_gamma 106.57
_space_group_name_H-M_alt 'P 1'
_space_group_IT_number 1
_space_group_name_Hall 'P 1'
loop_
_atom_site_label
_atom_site_type_symbol
_atom_site_fract_x
_atom_site_fract_y
_atom_site_fract_z
Tc1 Tc 0.6061 0.2123 0.7500
Tc2 Tc 0.3939 0.7877 0.2500
N1 N 0.1344 0.2689 0.4411
N2 N 0.8656 0.7311 0.9411
N3 N 0.8656 0.7311 0.5589
N4 N 0.1344 0.2689 0.0589
Ti1 Ti 0.5000 0.0000 0.0000
Ti2 Ti 0.2330 0.4661 0.6052
Ti3 Ti 0.2330 0.4661 0.8948
Ti4 Ti 0.7670 0.5339 0.1052
Ti5 Ti 0.7670 0.5339 0.3948
Ti6 Ti 0.5000 0.0000 0.5000
Ti7 Ti 0.0815 0.1629 0.2500
Ti8 Ti 0.9185 0.8371 0.7500

(4)
# PBE-GGA Ti2Tc2N, relaxed
# **Electronic total energy**: -8.933 eV/atom
# **Distance to the lowest polymorph of the same formula**: 2.42 kcal/mol of atoms
# **M_tot**: 0.0 Bohr magnetons per cell
# **Energy relative to the elements, uncorrected**: 0.180 eV per formula unit
# **Space group**: P4/mbm
# **Density**: 7.23 g/cm³
data_Ti2Tc2N
_cell_length_a 5.5556
_cell_length_b 5.5556
_cell_length_c 4.5498
_cell_angle_alpha 90.00
_cell_angle_beta 90.00
_cell_angle_gamma 90.00
_space_group_name_H-M_alt 'P 1'
_space_group_IT_number 1
_space_group_name_Hall 'P 1'
loop_
_atom_site_label
_atom_site_type_symbol
_atom_site_fract_x
_atom_site_fract_y
_atom_site_fract_z
N1 N 0.5000 0.5000 0.0000
N2 N 0.0000 0.0000 0.0000
Ti1 Ti 0.1666 0.6666 0.5000
Ti2 Ti 0.6666 0.8334 0.5000
Ti3 Ti 0.3334 0.1666 0.5000
Ti4 Ti 0.8334 0.3334 0.5000
Tc1 Tc 0.8285 0.6715 0.0000
Tc2 Tc 0.3285 0.8285 0.0000
Tc3 Tc 0.6715 0.1715 0.0000
Tc4 Tc 0.1715 0.3285 0.0000

(5)
# PBE-GGA Ti2Tc2N, relaxed
# **Electronic total energy**: -9.038 eV/atom
# **Distance to the lowest polymorph of the same formula**: 0.00 kcal/mol of atoms
# **M_tot**: 0.0 Bohr magnetons per cell
# **Energy relative to the elements, uncorrected**: -0.344 eV per formula unit
# **Space group**: P4/mbm
# **Density**: 7.36 g/cm³
data_Ti2Tc2N
_cell_length_a 5.4067
_cell_length_b 5.4067
_cell_length_c 4.7215
_cell_angle_alpha 90.00
_cell_angle_beta 90.00
_cell_angle_gamma 90.00
_space_group_name_H-M_alt 'P 1'
_space_group_IT_number 1
_space_group_name_Hall 'P 1'
loop_
_atom_site_label
_atom_site_type_symbol
_atom_site_fract_x
_atom_site_fract_y
_atom_site_fract_z
Ti1 Ti 0.6684 0.1684 0.0000
Ti2 Ti 0.8316 0.6684 0.0000
Ti3 Ti 0.1684 0.3316 0.0000
Ti4 Ti 0.3316 0.8316 0.0000
Tc1 Tc 0.1702 0.6702 0.5000
Tc2 Tc 0.6702 0.8298 0.5000
Tc3 Tc 0.3298 0.1702 0.5000
Tc4 Tc 0.8298 0.3298 0.5000
N1 N 0.0000 0.0000 0.0000
N2 N 0.5000 0.5000 0.0000

(6)
# PBE-GGA Ti2Tc2N, relaxed
# **Electronic total energy**: -8.479 eV/atom
# **Distance to the lowest polymorph of the same formula**: 12.90 kcal/mol of atoms
# **M_tot**: 1.6 Bohr magnetons per cell
# **Energy relative to the elements, uncorrected**: 2.453 eV per formula unit
# **Space group**: I4/mmm
# **Density**: 6.56 g/cm³
data_Ti2Tc2N
_cell_length_a 3.2982
_cell_length_b 3.2982
_cell_length_c 7.4869
_cell_angle_alpha 77.28
_cell_angle_beta 77.28
_cell_angle_gamma 90.00
_space_group_name_H-M_alt 'P 1'
_space_group_IT_number 1
_space_group_name_Hall 'P 1'
loop_
_atom_site_label
_atom_site_type_symbol
_atom_site_fract_x
_atom_site_fract_y
_atom_site_fract_z
Ti1 Ti 0.4135 0.4135 0.1729
Ti2 Ti 0.5865 0.5865 0.8271
N1 N 0.0000 0.0000 0.0000
Tc1 Tc 0.7500 0.2500 0.5000
Tc2 Tc 0.2500 0.7500 0.5000

(7)
# PBE-GGA Ti2Tc2N, relaxed
# **Electronic total energy**: -7.510 eV/atom
# **Distance to the lowest polymorph of the same formula**: 35.23 kcal/mol of atoms
# **M_tot**: 0.0 Bohr magnetons per cell
# **Energy relative to the elements, uncorrected**: 7.295 eV per formula unit
# **Space group**: I4/mmm
# **Density**: 6.23 g/cm³
data_Ti2Tc2N
_cell_length_a 3.7387
_cell_length_b 3.7387
_cell_length_c 6.3999
_cell_angle_alpha 73.02
_cell_angle_beta 73.02
_cell_angle_gamma 90.00
_space_group_name_H-M_alt 'P 1'
_space_group_IT_number 1
_space_group_name_Hall 'P 1'
loop_
_atom_site_label
_atom_site_type_symbol
_atom_site_fract_x
_atom_site_fract_y
_atom_site_fract_z
Ti1 Ti 0.7500 0.2500 0.5000
Ti2 Ti 0.2500 0.7500 0.5000
Tc1 Tc 0.6046 0.6046 0.7908
Tc2 Tc 0.3954 0.3954 0.2092
N1 N 0.0000 0.0000 0.0000

(8)
# PBE-GGA TiZn2TcN, relaxed
# **Electronic total energy**: -4.309 eV/atom
# **M_tot**: 2.2 Bohr magnetons per cell
# **Energy relative to the elements, uncorrected**: 7.589 eV per formula unit
# **Space group**: P4/mmm
# **Density**: 4.50 g/cm³
data_TiZn2TcN
_cell_length_a 4.9009
_cell_length_b 4.4645
_cell_length_c 4.9009
_cell_angle_alpha 90.00
_cell_angle_beta 90.00
_cell_angle_gamma 90.00
_space_group_name_H-M_alt 'P 1'
_space_group_IT_number 1
_space_group_name_Hall 'P 1'
loop_
_atom_site_label
_atom_site_type_symbol
_atom_site_fract_x
_atom_site_fract_y
_atom_site_fract_z
N1 N 0.5000 0.5000 0.5000
Tc1 Tc 0.0000 0.0000 0.0000
Zn1 Zn 0.5000 0.0000 0.0000
Zn2 Zn 0.0000 0.0000 0.5000
Ti1 Ti 0.0000 0.5000 0.0000

(9)
# PBE-GGA TlTc2N, relaxed
# **Electronic total energy**: -6.163 eV/atom
# **Distance to the lowest polymorph of the same formula**: 28.28 kcal/mol of atoms
# **M_tot**: 0.0 Bohr magnetons per cell
# **Energy relative to the elements, uncorrected**: 6.771 eV per formula unit
# **Space group**: Fm-3m
# **Density**: 11.60 g/cm³
data_TlTc2N
_cell_length_a 4.3777
_cell_length_b 4.3777
_cell_length_c 4.3777
_cell_angle_alpha 60.00
_cell_angle_beta 60.00
_cell_angle_gamma 60.00
_space_group_name_H-M_alt 'P 1'
_space_group_IT_number 1
_space_group_name_Hall 'P 1'
loop_
_atom_site_label
_atom_site_type_symbol
_atom_site_fract_x
_atom_site_fract_y
_atom_site_fract_z
Tc1 Tc 0.7500 0.7500 0.7500
Tc2 Tc 0.2500 0.2500 0.2500
N1 N 0.0000 0.0000 0.0000
Tl1 Tl 0.5000 0.5000 0.5000

(10)
# PBE-GGA Tl2TcN, relaxed
# **Electronic total energy**: -4.255 eV/atom
# **Distance to the lowest polymorph of the same formula**: 6.52 kcal/mol of atoms
# **M_tot**: 2.0 Bohr magnetons per cell
# **Energy relative to the elements, uncorrected**: 6.405 eV per formula unit
# **Space group**: Fm-3m
# **Density**: 11.75 g/cm³
data_Tl2TcN
_cell_length_a 4.7041
_cell_length_b 4.7041
_cell_length_c 4.7041
_cell_angle_alpha 60.00
_cell_angle_beta 60.00
_cell_angle_gamma 60.00
_space_group_name_H-M_alt 'P 1'
_space_group_IT_number 1
_space_group_name_Hall 'P 1'
loop_
_atom_site_label
_atom_site_type_symbol
_atom_site_fract_x
_atom_site_fract_y
_atom_site_fract_z
Tc1 Tc 0.5000 0.5000 0.5000
N1 N 0.0000 0.0000 0.0000
Tl1 Tl 0.7500 0.7500 0.7500
Tl2 Tl 0.2500 0.2500 0.2500

(11)
# PBE-GGA Tl2TcN, relaxed
# **Electronic total energy**: -4.537 eV/atom
# **Distance to the lowest polymorph of the same formula**: 0.00 kcal/mol of atoms
# **M_tot**: 4.7 Bohr magnetons per cell
# **Energy relative to the elements, uncorrected**: 5.274 eV per formula unit
# **Space group**: I-42d
# **Density**: 11.49 g/cm³
data_Tl2TcN
_cell_length_a 6.9987
_cell_length_b 6.9987
_cell_length_c 5.8248
_cell_angle_alpha 53.08
_cell_angle_beta 53.08
_cell_angle_gamma 90.00
_space_group_name_H-M_alt 'P 1'
_space_group_IT_number 1
_space_group_name_Hall 'P 1'
loop_
_atom_site_label
_atom_site_type_symbol
_atom_site_fract_x
_atom_site_fract_y
_atom_site_fract_z
Tl1 Tl 0.5696 0.1250 0.2500
Tl2 Tl 0.8750 0.8196 0.7500
Tl3 Tl 0.1804 0.6250 0.2500
Tl4 Tl 0.3750 0.4304 0.7500
N1 N 0.2500 0.7500 0.5000
N2 N 0.5000 0.5000 0.0000
Tc1 Tc 0.0000 0.0000 0.0000
Tc2 Tc 0.7500 0.2500 0.5000